Compound: NbTcW
Source: Alexandria
Functional: PBE
Structure: optimized geometry

a = 5.0369 Å, b = 2.9936 Å, c = 6.7869 Å
α = 90.00°, β = 90.00°, γ = 90.00°
Positions (direct):
Nb 0.2500 0.0000 0.1676
Nb 0.7500 0.0000 0.8324
Tc 0.2500 0.5000 0.8433
Tc 0.7500 0.5000 0.1567
W 0.0000 0.5000 0.5000
W 0.5000 0.5000 0.5000

Properties
Space-group type: No. 51
DOS at the Fermi energy (states/eV/atom): 0.880
Polymorph energy (0 for the lowest one) (meV per atom): 465
Formation energy (meV/atom): 297